Density functional theory data (PBE-GGA) for a geometry-optimized GePbS structure.

Cell and atoms, written as CIF:
```
data_GePbS
_chemical_formula_sum 'Ge4 Pb4 S4'
_cell_length_a 7.6169
_cell_length_b 7.6169
_cell_length_c 5.5162
_cell_angle_alpha 90.00
_cell_angle_beta 90.00
_cell_angle_gamma 88.17
_space_group_name_H-M_alt 'P 1'
_space_group_IT_number 1
loop_
_space_group_symop_operation_xyz
'x,y,z'
loop_
_atom_site_label
_atom_site_type_symbol
_atom_site_fract_x
_atom_site_fract_y
_atom_site_fract_z
Ge1 Ge 0.1184 0.8816 0.8381
Ge2 Ge 0.3816 0.6184 0.3381
Ge3 Ge 0.6184 0.3816 0.6619
Ge4 Ge 0.8816 0.1184 0.1619
Pb1 Pb 0.1573 0.3427 0.7500
Pb2 Pb 0.3427 0.1573 0.2500
Pb3 Pb 0.6573 0.8427 0.7500
Pb4 Pb 0.8427 0.6573 0.2500
S1 S 0.1569 0.8431 0.4068
S2 S 0.3431 0.6569 0.9068
S3 S 0.6569 0.3431 0.0932
S4 S 0.8431 0.1569 0.5932
```

Results
E_form (uncorrected) (eV per atom): -0.005

=====

Density functional theory data (PBE-GGA) for a geometry-optimized HfTeHS structure.

Cell and atoms, written as CIF:
```
data_HfTeHS
_chemical_formula_sum 'Hf2 Te2 H2 S2'
_cell_length_a 5.9471
_cell_length_b 3.5315
_cell_length_c 7.7974
_cell_angle_alpha 90.00
_cell_angle_beta 104.88
_cell_angle_gamma 90.00
_space_group_name_H-M_alt 'P 1'
_space_group_IT_number 1
loop_
_space_group_symop_operation_xyz
'x,y,z'
loop_
_atom_site_label
_atom_site_type_symbol
_atom_site_fract_x
_atom_site_fract_y
_atom_site_fract_z
Hf1 Hf 0.0000 0.0000 0.0000
Hf2 Hf 0.5000 0.5000 0.0000
Te1 Te 0.2255 0.0000 0.6831
Te2 Te 0.7255 0.5000 0.6831
H1 H 0.1531 0.5000 0.9645
H2 H 0.6531 0.0000 0.9645
S1 S 0.4038 0.0000 0.2066
S2 S 0.9038 0.5000 0.2066
```

Results
Energy (eV for the cell shown): -47.993

=====

Density functional theory data (PBE-GGA) for a geometry-optimized Cr3Ir structure.

Cell and atoms, written as CIF:
```
data_Cr3Ir
_chemical_formula_sum 'Cr6 Ir2'
_cell_length_a 2.8849
_cell_length_b 4.2164
_cell_length_c 8.1836
_cell_angle_alpha 90.00
_cell_angle_beta 90.00
_cell_angle_gamma 90.00
_space_group_name_H-M_alt 'P 1'
_space_group_IT_number 1
loop_
_space_group_symop_operation_xyz
'x,y,z'
loop_
_atom_site_label
_atom_site_type_symbol
_atom_site_fract_x
_atom_site_fract_y
_atom_site_fract_z
Cr1 Cr 0.0000 0.0000 0.0000
Cr2 Cr 0.0000 0.5000 0.2681
Cr3 Cr 0.0000 0.5000 0.7319
Cr4 Cr 0.5000 0.0000 0.2319
Cr5 Cr 0.5000 0.0000 0.7681
Cr6 Cr 0.5000 0.5000 0.5000
Ir1 Ir 0.0000 0.0000 0.5000
Ir2 Ir 0.5000 0.5000 0.0000
```

Results
ΔH_f (0 K) (eV/atom): 0.0234

=====

Density functional theory data (PBE-GGA) for a geometry-optimized Li2ZrMn structure.

Cell and atoms, written as CIF:
```
data_Li2ZrMn
_chemical_formula_sum 'Li4 Zr2 Mn2'
_cell_length_a 5.1891
_cell_length_b 9.8805
_cell_length_c 2.7775
_cell_angle_alpha 90.00
_cell_angle_beta 90.00
_cell_angle_gamma 90.00
_space_group_name_H-M_alt 'P 1'
_space_group_IT_number 1
loop_
_space_group_symop_operation_xyz
'x,y,z'
loop_
_atom_site_label
_atom_site_type_symbol
_atom_site_fract_x
_atom_site_fract_y
_atom_site_fract_z
Li1 Li 0.2500 0.2500 0.0000
Li2 Li 0.2500 0.7500 0.0000
Li3 Li 0.7500 0.2500 0.0000
Li4 Li 0.7500 0.7500 0.0000
Zr1 Zr 0.0000 0.0000 0.5000
Zr2 Zr 0.5000 0.5000 0.5000
Mn1 Mn 0.0000 0.5000 0.5000
Mn2 Mn 0.5000 0.0000 0.5000
```

Results
Offset from the most stable computed form (meV per atom): 208
ΔH_f (0 K) (eV/atom): 0.3959

=====

Density functional theory data (PBE-GGA) for a geometry-optimized TbTmInOs structure.

Cell and atoms, written as CIF:
```
data_TbTmInOs
_chemical_formula_sum 'Tb4 Tm4 In4 Os4'
_cell_length_a 7.0972
_cell_length_b 7.0972
_cell_length_c 7.0972
_cell_angle_alpha 90.00
_cell_angle_beta 90.00
_cell_angle_gamma 90.00
_space_group_name_H-M_alt 'P 1'
_space_group_IT_number 1
loop_
_space_group_symop_operation_xyz
'x,y,z'
loop_
_atom_site_label
_atom_site_type_symbol
_atom_site_fract_x
_atom_site_fract_y
_atom_site_fract_z
Tb1 Tb 0.0000 0.0000 0.0000
Tb2 Tb 0.0000 0.5000 0.5000
Tb3 Tb 0.5000 0.0000 0.5000
Tb4 Tb 0.5000 0.5000 0.0000
Tm1 Tm 0.0000 0.0000 0.5000
Tm2 Tm 0.0000 0.5000 0.0000
Tm3 Tm 0.5000 0.0000 0.0000
Tm4 Tm 0.5000 0.5000 0.5000
In1 In 0.2500 0.2500 0.2500
In2 In 0.2500 0.7500 0.7500
In3 In 0.7500 0.2500 0.7500
In4 In 0.7500 0.7500 0.2500
Os1 Os 0.2500 0.2500 0.7500
Os2 Os 0.2500 0.7500 0.2500
Os3 Os 0.7500 0.2500 0.2500
Os4 Os 0.7500 0.7500 0.7500
```

Results
Offset from the most stable computed form (meV per atom): 132
ΔH_f (0 K) (eV/atom): -0.2531

=====

Density functional theory data (PBE-GGA) for a geometry-optimized PrMnH structure.

Cell and atoms, written as CIF:
```
data_PrMnH
_chemical_formula_sum 'Pr4 Mn4 H4'
_cell_length_a 3.1482
_cell_length_b 16.9168
_cell_length_c 3.4560
_cell_angle_alpha 90.00
_cell_angle_beta 90.00
_cell_angle_gamma 90.00
_space_group_name_H-M_alt 'P 1'
_space_group_IT_number 1
loop_
_space_group_symop_operation_xyz
'x,y,z'
loop_
_atom_site_label
_atom_site_type_symbol
_atom_site_fract_x
_atom_site_fract_y
_atom_site_fract_z
Pr1 Pr 0.0000 0.0984 0.2500
Pr2 Pr 0.0000 0.9016 0.7500
Pr3 Pr 0.5000 0.4016 0.7500
Pr4 Pr 0.5000 0.5984 0.2500
Mn1 Mn 0.0000 0.2456 0.7500
Mn2 Mn 0.0000 0.7544 0.2500
Mn3 Mn 0.5000 0.2544 0.2500
Mn4 Mn 0.5000 0.7456 0.7500
H1 H 0.0000 0.4497 0.2500
H2 H 0.0000 0.5503 0.7500
H3 H 0.5000 0.0503 0.7500
H4 H 0.5000 0.9497 0.2500
```

Results
Energy (eV for the cell shown): -67.568

=====

Density functional theory data (PBE-GGA) for a geometry-optimized FeOs2Se structure.

Cell and atoms, written as CIF:
```
data_FeOs2Se
_chemical_formula_sum 'Fe3 Os6 Se3'
_cell_length_a 2.8309
_cell_length_b 2.8309
_cell_length_c 24.8182
_cell_angle_alpha 90.00
_cell_angle_beta 90.00
_cell_angle_gamma 120.00
_space_group_name_H-M_alt 'P 1'
_space_group_IT_number 1
loop_
_space_group_symop_operation_xyz
'x,y,z'
loop_
_atom_site_label
_atom_site_type_symbol
_atom_site_fract_x
_atom_site_fract_y
_atom_site_fract_z
Fe1 Fe 0.0000 0.0000 0.0000
Fe2 Fe 0.3333 0.6667 0.6667
Fe3 Fe 0.6667 0.3333 0.3333
Os1 Os 0.0000 0.0000 0.5024
Os2 Os 0.0000 0.0000 0.7526
Os3 Os 0.3333 0.6667 0.1690
Os4 Os 0.3333 0.6667 0.4193
Os5 Os 0.6667 0.3333 0.0859
Os6 Os 0.6667 0.3333 0.8357
Se1 Se 0.0000 0.0000 0.2594
Se2 Se 0.3333 0.6667 0.9260
Se3 Se 0.6667 0.3333 0.5927
```

Results
E_form (uncorrected) (eV per atom): 0.398

=====

Density functional theory data (PBE-GGA) for a geometry-optimized YTl structure.

Cell and atoms, written as CIF:
```
data_YTl
_chemical_formula_sum 'Y8 Tl8'
_cell_length_a 7.7929
_cell_length_b 7.7929
_cell_length_c 7.7929
_cell_angle_alpha 90.00
_cell_angle_beta 90.00
_cell_angle_gamma 90.00
_space_group_name_H-M_alt 'P 1'
_space_group_IT_number 1
loop_
_space_group_symop_operation_xyz
'x,y,z'
loop_
_atom_site_label
_atom_site_type_symbol
_atom_site_fract_x
_atom_site_fract_y
_atom_site_fract_z
Y1 Y 0.1250 0.1250 0.1250
Y2 Y 0.1250 0.6250 0.6250
Y3 Y 0.3750 0.3750 0.8750
Y4 Y 0.3750 0.8750 0.3750
Y5 Y 0.6250 0.1250 0.6250
Y6 Y 0.6250 0.6250 0.1250
Y7 Y 0.8750 0.3750 0.3750
Y8 Y 0.8750 0.8750 0.8750
Tl1 Tl 0.1250 0.1250 0.6250
Tl2 Tl 0.1250 0.6250 0.1250
Tl3 Tl 0.3750 0.3750 0.3750
Tl4 Tl 0.3750 0.8750 0.8750
Tl5 Tl 0.6250 0.1250 0.1250
Tl6 Tl 0.6250 0.6250 0.6250
Tl7 Tl 0.8750 0.3750 0.8750
Tl8 Tl 0.8750 0.8750 0.3750
```

Results
ΔH_f (0 K) (eV/atom): 0.1288

=====

The D(E_F) results, record by record, are as follows: 2.3; 2.1; 9.2; 6.1; 10.6; 10.4; 8.6; 25.9 states/eV/cell.